A plane-wave DFT calculation with GGA-PBE was carried out for crystalline NaYCr3 at its relaxed geometry.

It has space group Pm-3m (No. 221), with a = 4.954 Å, b = 4.954 Å, c = 4.954 Å, α = 90.00°, β = 90.00° and γ = 90.00°. The distinct sites, in fractional coordinates, are Na at (0.000, 0.000, 0.000), Y at (0.500, 0.500, 0.500) and Cr at (0.000, 0.000, 0.500).

The volume comes out at 121.6 Å³/f.u. As for the crystal system: cubic. The value obtained for the energy above the most stable polymorph in this dataset is 0.000 eV per atom. For the total energy, the calculation gives -5.781 eV per atom. The calculation puts the total magnetic moment at 12.8 Bohr magnetons per cell.

---

A plane-wave DFT calculation with GGA-PBE was carried out for crystalline Si2AsSe at its relaxed geometry.

It has space group Cm (No. 8), with a = 10.218 Å, b = 3.459 Å, c = 5.213 Å, α = 90.00°, β = 102.42° and γ = 90.00°. The distinct sites, in fractional coordinates, are Si at (0.000, 0.000, 0.000), Si at (0.143, 0.500, 0.793), As at (0.306, 0.000, 0.761) and Se at (0.497, 0.000, 0.357).

The volume comes out at 90.0 Å³/f.u. The value obtained for the uncorrected formation energy is 266 meV/atom. As for the crystal system: monoclinic. The value obtained for the energy above the most stable polymorph in this dataset is 0.280 eV per atom. For the total energy, the calculation gives -4.479 eV per atom. The calculation puts the total magnetic moment at 0.0 Bohr magnetons per cell.

---

A plane-wave DFT calculation with GGA-PBE was carried out for crystalline Ac6AgTe3Ir2 at its relaxed geometry.

It has space group C2/m (No. 12), with a = 7.772 Å, b = 13.450 Å, c = 8.457 Å, α = 90.00°, β = 107.82° and γ = 90.00°. The distinct sites, in fractional coordinates, are Ac at (0.213, 0.000, 0.211), Ac at (0.249, 0.179, 0.785), Ag at (0.000, 0.500, 0.000), Te at (0.000, 0.000, 0.500), Te at (0.000, 0.340, 0.500) and Ir at (0.000, 0.167, 0.000).

The volume comes out at 420.8 Å³/f.u. The value obtained for the uncorrected formation energy is -1041 meV/atom. As for the crystal system: monoclinic. For the total energy, the calculation gives -5.595 eV per atom. The calculation puts the total magnetic moment at 0.0 Bohr magnetons per cell.

---

A plane-wave DFT calculation with GGA-PBE was carried out for crystalline DyAs12Os4 at its relaxed geometry.

It has space group Im-3 (No. 204), with a = 8.618 Å, b = 8.618 Å, c = 8.618 Å, α = 90.00°, β = 90.00° and γ = 90.00°. The distinct sites, in fractional coordinates, are Dy at (0.000, 0.000, 0.000), As at (0.000, 0.346, 0.148) and Os at (0.250, 0.250, 0.250).

The volume comes out at 320.0 Å³/f.u. As for the crystal system: cubic. For the total energy, the calculation gives -6.498 eV per atom. The calculation puts the total magnetic moment at 0.0 Bohr magnetons per cell.

---

A plane-wave DFT calculation with GGA-PBE was carried out for crystalline K2SbP2 at its relaxed geometry.

It has space group I4/mmm (No. 139), with a = 3.450 Å, b = 3.450 Å, c = 22.068 Å, α = 90.00°, β = 90.00° and γ = 90.00°. The distinct sites, in fractional coordinates, are K at (0.000, 0.000, 0.120), Sb at (0.000, 0.000, 0.500) and P at (0.000, 0.500, 0.250).

The volume comes out at 131.3 Å³/f.u. The value obtained for the uncorrected formation energy is -153 meV/atom. As for the crystal system: tetragonal. The value obtained for the energy above the most stable polymorph in this dataset is 0.096 eV per atom. For the total energy, the calculation gives -3.580 eV per atom. The calculation puts the total magnetic moment at 0.0 Bohr magnetons per cell.

---

A plane-wave DFT calculation with GGA-PBE was carried out for crystalline Y2GeBPt6 at its relaxed geometry.

It has space group Pmmn (No. 59, origin choice 2), with a = 5.689 Å, b = 8.612 Å, c = 7.346 Å, α = 90.00°, β = 90.00° and γ = 90.00°. The distinct sites, in fractional coordinates, are Y at (0.250, 0.033, 0.220), Ge at (0.250, 0.750, 0.814), B at (0.250, 0.250, 0.700), Pt at (0.003, 0.250, 0.914), Pt at (0.008, 0.750, 0.506) and Pt at (0.250, 0.004, 0.650).

The volume comes out at 179.9 Å³/f.u. As for the crystal system: orthorhombic. For the total energy, the calculation gives -6.926 eV per atom. The calculation puts the total magnetic moment at 0.0 Bohr magnetons per cell.

---

A plane-wave DFT calculation with GGA-PBE was carried out for crystalline Y2SbW at its relaxed geometry.

It has space group Imm2 (No. 44), with a = 3.668 Å, b = 4.967 Å, c = 10.750 Å, α = 90.00°, β = 90.00° and γ = 90.00°. The distinct sites, in fractional coordinates, are Y at (0.000, 0.000, 0.000), Y at (0.000, 0.500, 0.223), Sb at (0.000, 0.500, 0.790) and W at (0.000, 0.000, 0.485).

The volume comes out at 97.9 Å³/f.u. The value obtained for the uncorrected formation energy is 26 meV/atom. As for the crystal system: orthorhombic. For the total energy, the calculation gives -7.475 eV per atom. The calculation puts the total magnetic moment at 0.0 Bohr magnetons per cell.

---

A plane-wave DFT calculation with GGA-PBE was carried out for crystalline CaCrRe2 at its relaxed geometry.

It has space group Cmmm (No. 65), with a = 3.138 Å, b = 4.442 Å, c = 9.240 Å, α = 90.00°, β = 90.00° and γ = 90.00°. The distinct sites, in fractional coordinates, are Ca at (0.000, 0.000, 0.000), Cr at (0.000, 0.000, 0.500) and Re at (0.000, 0.500, 0.284).

The volume comes out at 64.4 Å³/f.u. As for the crystal system: orthorhombic. The value obtained for the energy above the most stable polymorph in this dataset is 0.030 eV per atom. For the total energy, the calculation gives -8.621 eV per atom. The calculation puts the total magnetic moment at 0.0 Bohr magnetons per cell.

---

A plane-wave DFT calculation with GGA-PBE was carried out for crystalline CaNdTm2 at its relaxed geometry.

It has space group Fm-3m (No. 225), with a = 8.120 Å, b = 8.120 Å, c = 8.120 Å, α = 90.00°, β = 90.00° and γ = 90.00°. The distinct sites, in fractional coordinates, are Ca at (0.000, 0.000, 0.000), Nd at (0.000, 0.000, 0.500) and Tm at (0.250, 0.250, 0.250).

The volume comes out at 133.9 Å³/f.u. As for the crystal system: cubic. The value obtained for the energy above the most stable polymorph in this dataset is 0.096 eV per atom. For the total energy, the calculation gives -3.758 eV per atom. The calculation puts the total magnetic moment at 0.0 Bohr magnetons per cell.

---

A plane-wave DFT calculation with GGA-PBE was carried out for crystalline Dy2Pu3ThTe6 at its relaxed geometry.

It has space group C2/m (No. 12), with a = 19.266 Å, b = 4.371 Å, c = 8.891 Å, α = 90.00°, β = 103.90° and γ = 90.00°. The distinct sites, in fractional coordinates, are Dy at (0.166, 0.000, 0.331), Pu at (0.000, 0.500, 0.500), Pu at (0.164, 0.000, 0.833), Th at (0.000, 0.500, 0.000), Te at (0.002, 0.000, 0.257), Te at (0.168, 0.500, 0.580) and Te at (0.170, 0.500, 0.088).

The volume comes out at 363.4 Å³/f.u. The value obtained for the uncorrected formation energy is -1160 meV/atom. As for the crystal system: monoclinic. For the total energy, the calculation gives -7.700 eV per atom. The calculation puts the total magnetic moment at 35.6 Bohr magnetons per cell.

---

A plane-wave DFT calculation with GGA-PBE was carried out for crystalline AcCuBr4 at its relaxed geometry.

It has space group I4_1/amd (No. 141, origin choice 2), with a = 9.720 Å, b = 9.720 Å, c = 8.776 Å, α = 90.00°, β = 90.00° and γ = 90.00°. The distinct sites, in fractional coordinates, are Ac at (0.000, 0.250, 0.375), Cu at (0.000, 0.250, 0.875) and Br at (0.000, 0.066, 0.684).

The volume comes out at 207.3 Å³/f.u. The value obtained for the uncorrected formation energy is -1412 meV/atom. As for the crystal system: tetragonal. For the total energy, the calculation gives -3.895 eV per atom. The calculation puts the total magnetic moment at 0.1 Bohr magnetons per cell.

---

A plane-wave DFT calculation with GGA-PBE was carried out for crystalline FeBiS2Br at its relaxed geometry.

It has space group C2/m (No. 12), with a = 12.492 Å, b = 3.747 Å, c = 9.169 Å, α = 90.00°, β = 92.23° and γ = 90.00°. The distinct sites, in fractional coordinates, are Fe at (0.000, 0.000, 0.000), Fe at (0.000, 0.000, 0.500), Bi at (0.213, 0.500, 0.292), S at (0.058, 0.000, 0.263), S at (0.117, 0.500, 0.545) and Br at (0.136, 0.500, 0.949).

The volume comes out at 107.2 Å³/f.u. The value obtained for the uncorrected formation energy is -286 meV/atom. As for the crystal system: monoclinic. For the total energy, the calculation gives -4.741 eV per atom. The calculation puts the total magnetic moment at 8.0 Bohr magnetons per cell.